No. 1
Here is a relaxed Dy2BeGa4Cu3 crystal from Alexandria via LeMat-Bulk. Energies are from PBE.

## Properties
M_tot, μB/f.u.: 0.00
Formation energy, meV/atom: -405

Cell and atoms, written as CIF:
```
data_Dy2BeGa4Cu3
_space_group_name_H-M_alt 'P -4 m 2'
_space_group_IT_number 115
_space_group_name_Hall 'P -4 -2'
_cell_length_a 4.099
_cell_length_b 4.099
_cell_length_c 10.020
_cell_angle_alpha 90.00
_cell_angle_beta 90.00
_cell_angle_gamma 90.00
loop_
_atom_site_label
_atom_site_fract_x
_atom_site_fract_y
_atom_site_fract_z
_atom_site_occupancy
Dy1 0.000 0.500 0.242 1
Be1 0.500 0.500 0.000 1
Ga1 0.000 0.000 0.500 1
Ga2 0.000 0.500 0.874 1
Ga3 0.500 0.500 0.500 1
Cu1 0.000 0.000 0.000 1
Cu2 0.000 0.500 0.637 1
```

No. 2
Here is a relaxed MnTeAu2 crystal from Alexandria via LeMat-Bulk. Energies are from PBE.

## Properties
M_tot, μB/f.u.: 4.14
Formation energy (no corrections), eV/atom: 0.09

Cell and atoms, written as CIF:
```
data_MnTeAu2
_space_group_name_H-M_alt 'P 4 m m'
_space_group_IT_number 99
_space_group_name_Hall 'P 4 -2'
_cell_length_a 3.628
_cell_length_b 3.628
_cell_length_c 6.123
_cell_angle_alpha 90.00
_cell_angle_beta 90.00
_cell_angle_gamma 90.00
loop_
_atom_site_label
_atom_site_fract_x
_atom_site_fract_y
_atom_site_fract_z
_atom_site_occupancy
Mn1 0.000 0.000 0.000 1
Te1 0.500 0.500 0.224 1
Au1 0.000 0.000 0.552 1
Au2 0.500 0.500 0.762 1
```

No. 3
Here is a relaxed KBe3 crystal from Alexandria via LeMat-Bulk. Energies are from PBE.

## Properties
M_tot, μB/f.u.: 0.00
Polymorph energy (0 for the lowest one), meV/atom: 242
Formation energy, meV/atom: 739

Cell and atoms, written as CIF:
```
data_KBe3
_space_group_name_H-M_alt 'P 4/m m m'
_space_group_IT_number 123
_space_group_name_Hall '-P 4 2'
_cell_length_a 2.720
_cell_length_b 2.720
_cell_length_c 7.689
_cell_angle_alpha 90.00
_cell_angle_beta 90.00
_cell_angle_gamma 90.00
loop_
_atom_site_label
_atom_site_fract_x
_atom_site_fract_y
_atom_site_fract_z
_atom_site_occupancy
K1 0.000 0.000 0.000 1
Be1 0.000 0.000 0.500 1
Be2 0.500 0.500 0.351 1
```

No. 4
Here is a relaxed SrLiRe2 crystal from Alexandria via LeMat-Bulk. Energies are from PBE.

## Properties
M_tot, μB/f.u.: 0.00
Polymorph energy (0 for the lowest one), meV/atom: 453
Formation energy, meV/atom: 894

Cell and atoms, written as CIF:
```
data_SrLiRe2
_space_group_name_H-M_alt 'P m m m'
_space_group_IT_number 47
_space_group_name_Hall '-P 2 2'
_cell_length_a 2.684
_cell_length_b 5.212
_cell_length_c 5.270
_cell_angle_alpha 90.00
_cell_angle_beta 90.00
_cell_angle_gamma 90.00
loop_
_atom_site_label
_atom_site_fract_x
_atom_site_fract_y
_atom_site_fract_z
_atom_site_occupancy
Sr1 0.000 0.000 0.000 1
Li1 0.000 0.000 0.500 1
Re1 0.500 0.500 0.252 1
```

No. 5
Here is a relaxed VRe2Ge crystal from Alexandria via LeMat-Bulk. Energies are from PBE.

## Properties
M_tot, μB/f.u.: 0.00
Formation energy, meV/atom: 638

Cell and atoms, written as CIF:
```
data_VRe2Ge
_space_group_name_H-M_alt 'R -3 m'
_space_group_IT_number 166
_space_group_name_Hall '-R 3 2"'
_cell_length_a 2.8177
_cell_length_b 2.8177
_cell_length_c 26.8461
_cell_angle_alpha 90.00
_cell_angle_beta 90.00
_cell_angle_gamma 120.00
loop_
_atom_site_label
_atom_site_fract_x
_atom_site_fract_y
_atom_site_fract_z
_atom_site_occupancy
V1 0.0000 0.0000 0.0000 1
Re1 0.0000 0.0000 0.0888 1
Ge1 0.0000 0.0000 0.5000 1
```

No. 6
Here is a relaxed ReSb2Cl crystal from Alexandria via LeMat-Bulk. Energies are from PBE.

## Properties
M_tot, μB/f.u.: 0.57
Formation energy (no corrections), eV/atom: 0.58
Polymorph energy (0 for the lowest one), meV/atom: 467

Cell and atoms, written as CIF:
```
data_ReSb2Cl
_space_group_name_H-M_alt 'P 4 m m'
_space_group_IT_number 99
_space_group_name_Hall 'P 4 -2'
_cell_length_a 3.506
_cell_length_b 3.506
_cell_length_c 7.667
_cell_angle_alpha 90.00
_cell_angle_beta 90.00
_cell_angle_gamma 90.00
loop_
_atom_site_label
_atom_site_fract_x
_atom_site_fract_y
_atom_site_fract_z
_atom_site_occupancy
Re1 0.000 0.000 0.000 1
Sb1 0.000 0.000 0.385 1
Sb2 0.500 0.500 0.141 1
Cl1 0.500 0.500 0.745 1
```

No. 7
Here is a relaxed Be2CdReIr crystal from Alexandria via LeMat-Bulk. Energies are from PBE.

## Properties
M_tot, μB/f.u.: 0.00
Formation energy, meV/atom: 990

Cell and atoms, written as CIF:
```
data_Be2CdReIr
_space_group_name_H-M_alt 'P 4/m m m'
_space_group_IT_number 123
_space_group_name_Hall '-P 4 2'
_cell_length_a 4.325
_cell_length_b 4.325
_cell_length_c 4.757
_cell_angle_alpha 90.00
_cell_angle_beta 90.00
_cell_angle_gamma 90.00
loop_
_atom_site_label
_atom_site_fract_x
_atom_site_fract_y
_atom_site_fract_z
_atom_site_occupancy
Be1 0.000 0.500 0.000 1
Cd1 0.000 0.000 0.500 1
Re1 0.500 0.500 0.000 1
Ir1 0.500 0.500 0.500 1
```

No. 8
Here is a relaxed LiIr2Pd crystal from Alexandria via LeMat-Bulk. Energies are from PBE.

## Properties
M_tot, μB/f.u.: 0.00
Polymorph energy (0 for the lowest one), meV/atom: 0
Formation energy, meV/atom: 269

Cell and atoms, written as CIF:
```
data_LiIr2Pd
_space_group_name_H-M_alt 'F m -3 m'
_space_group_IT_number 225
_space_group_name_Hall '-F 4 2 3'
_cell_length_a 6.078
_cell_length_b 6.078
_cell_length_c 6.078
_cell_angle_alpha 90.00
_cell_angle_beta 90.00
_cell_angle_gamma 90.00
loop_
_atom_site_label
_atom_site_fract_x
_atom_site_fract_y
_atom_site_fract_z
_atom_site_occupancy
Li1 0.000 0.000 0.000 1
Ir1 0.250 0.250 0.250 1
Pd1 0.000 0.000 0.500 1
```

No. 9
Here is a relaxed Hg2IrRu crystal from Alexandria via LeMat-Bulk. Energies are from PBE.

## Properties
M_tot, μB/f.u.: 1.93
Polymorph energy (0 for the lowest one), meV/atom: 387
Formation energy, meV/atom: 694

Cell and atoms, written as CIF:
```
data_Hg2IrRu
_space_group_name_H-M_alt 'C m m m'
_space_group_IT_number 65
_space_group_name_Hall '-C 2 2'
_cell_length_a 5.874
_cell_length_b 8.081
_cell_length_c 2.961
_cell_angle_alpha 90.00
_cell_angle_beta 90.00
_cell_angle_gamma 90.00
loop_
_atom_site_label
_atom_site_fract_x
_atom_site_fract_y
_atom_site_fract_z
_atom_site_occupancy
Hg1 0.250 0.250 0.000 1
Ir1 0.000 0.000 0.500 1
Ru1 0.000 0.500 0.500 1
```

No. 10
Here is a relaxed CsKB2 crystal from Alexandria via LeMat-Bulk. Energies are from PBE.

## Properties
M_tot, μB/f.u.: 0.00
Formation energy, meV/atom: 1710

Cell and atoms, written as CIF:
```
data_CsKB2
_space_group_name_H-M_alt 'I 41/a m d'
_space_group_IT_number 141
_cell_length_a 4.216
_cell_length_b 4.216
_cell_length_c 21.518
_cell_angle_alpha 90.00
_cell_angle_beta 90.00
_cell_angle_gamma 90.00
loop_
_space_group_symop_operation_xyz
'x,y,z'
'-x,-y,-z'
'-y+1/4,x+3/4,z+1/4'
'y+1/4,-x+3/4,-z+1/4'
'-x+1/2,-y,z+1/2'
'x+1/2,y,-z+1/2'
'y+1/4,-x+1/4,z+3/4'
'-y+1/4,x+1/4,-z+3/4'
'x,-y,-z'
'-x,y,z'
'-y+1/4,-x+1/4,-z+3/4'
'y+1/4,x+1/4,z+3/4'
'-x+1/2,y,-z+1/2'
'x+1/2,-y,z+1/2'
'y+1/4,x+3/4,-z+1/4'
'-y+1/4,-x+3/4,z+1/4'
'x+1/2,y+1/2,z+1/2'
'-x+1/2,-y+1/2,-z+1/2'
'-y+3/4,x+1/4,z+3/4'
'y+3/4,-x+1/4,-z+3/4'
'-x,-y+1/2,z'
'x,y+1/2,-z'
'y+3/4,-x+3/4,z+1/4'
'-y+3/4,x+3/4,-z+1/4'
'x+1/2,-y+1/2,-z+1/2'
'-x+1/2,y+1/2,z+1/2'
'-y+3/4,-x+3/4,-z+1/4'
'y+3/4,x+3/4,z+1/4'
'-x,y+1/2,-z'
'x,-y+1/2,z'
'y+3/4,x+1/4,-z+3/4'
'-y+3/4,-x+1/4,z+3/4'
loop_
_atom_site_label
_atom_site_fract_x
_atom_site_fract_y
_atom_site_fract_z
_atom_site_occupancy
Cs1 0.000 0.250 0.375 1
K1 0.000 0.250 0.875 1
B1 0.000 0.000 0.000 1
```

No. 11
Here is a relaxed Zr12Cd3Cu crystal from Alexandria via LeMat-Bulk. Energies are from PBE.

## Properties
M_tot, μB/f.u.: 0.00
Formation energy, meV/atom: -47

Cell and atoms, written as CIF:
```
data_Zr12Cd3Cu
_space_group_name_H-M_alt 'P 4/m m m'
_space_group_IT_number 123
_space_group_name_Hall '-P 4 2'
_cell_length_a 4.440
_cell_length_b 4.440
_cell_length_c 17.657
_cell_angle_alpha 90.00
_cell_angle_beta 90.00
_cell_angle_gamma 90.00
loop_
_atom_site_label
_atom_site_fract_x
_atom_site_fract_y
_atom_site_fract_z
_atom_site_occupancy
Zr1 0.000 0.000 0.000 1
Zr2 0.000 0.000 0.244 1
Zr3 0.000 0.000 0.500 1
Zr4 0.000 0.500 0.117 1
Zr5 0.000 0.500 0.373 1
Cd1 0.500 0.500 0.246 1
Cd2 0.500 0.500 0.500 1
Cu1 0.500 0.500 0.000 1
```

No. 12
Here is a relaxed Mg5Zn crystal from Alexandria via LeMat-Bulk. Energies are from PBE.

## Properties
M_tot, μB/f.u.: 0.00
Formation energy, meV/atom: -7

Cell and atoms, written as CIF:
```
data_Mg5Zn
_space_group_name_H-M_alt 'P -6 2 m'
_space_group_IT_number 189
_space_group_name_Hall 'P -6 -2'
_cell_length_a 5.4087
_cell_length_b 5.4087
_cell_length_c 4.9888
_cell_angle_alpha 90.00
_cell_angle_beta 90.00
_cell_angle_gamma 120.00
loop_
_atom_site_label
_atom_site_fract_x
_atom_site_fract_y
_atom_site_fract_z
_atom_site_occupancy
Mg1 0.0000 0.6782 0.0000 1
Mg2 0.3333 0.6667 0.5000 1
Zn1 0.0000 0.0000 0.5000 1
```

No. 13
Here is a relaxed Ba6TlPd2I3 crystal from Alexandria via LeMat-Bulk. Energies are from PBE.

## Properties
M_tot, μB/f.u.: 0.00
Formation energy (no corrections), eV/atom: -0.94

Cell and atoms, written as CIF:
```
data_Ba6TlPd2I3
_space_group_name_H-M_alt 'C 1 2/m 1'
_space_group_IT_number 12
_space_group_name_Hall '-C 2y'
_cell_length_a 22.413
_cell_length_b 4.702
_cell_length_c 10.530
_cell_angle_alpha 90.00
_cell_angle_beta 109.94
_cell_angle_gamma 90.00
loop_
_atom_site_label
_atom_site_fract_x
_atom_site_fract_y
_atom_site_fract_z
_atom_site_occupancy
Ba1 0.014 0.000 0.250 1
Ba2 0.163 0.500 0.115 1
Ba3 0.179 0.500 0.555 1
Tl1 0.000 0.500 0.000 1
Pd1 0.168 0.000 0.335 1
I1 0.000 0.500 0.500 1
I2 0.165 0.000 0.828 1
```

No. 14
Here is a relaxed CrIrPb2 crystal from Alexandria via LeMat-Bulk. Energies are from PBE.

## Properties
M_tot, μB/f.u.: 3.88
Polymorph energy (0 for the lowest one), meV/atom: 388
Formation energy, meV/atom: 646

Cell and atoms, written as CIF:
```
data_CrIrPb2
_space_group_name_H-M_alt 'R -3 m'
_space_group_IT_number 166
_space_group_name_Hall '-R 3 2"'
_cell_length_a 3.3896
_cell_length_b 3.3896
_cell_length_c 26.2137
_cell_angle_alpha 90.00
_cell_angle_beta 90.00
_cell_angle_gamma 120.00
loop_
_atom_site_label
_atom_site_fract_x
_atom_site_fract_y
_atom_site_fract_z
_atom_site_occupancy
Cr1 0.0000 0.0000 0.0000 1
Ir1 0.0000 0.0000 0.5000 1
Pb1 0.0000 0.0000 0.2447 1
```

No. 15
Here is a relaxed VReMo6 crystal from Alexandria via LeMat-Bulk. Energies are from PBE.

## Properties
M_tot, μB/f.u.: 0.00
Polymorph energy (0 for the lowest one), meV/atom: 38
Formation energy, meV/atom: -12

Cell and atoms, written as CIF:
```
data_VReMo6
_space_group_name_H-M_alt 'P -1'
_space_group_IT_number 2
_space_group_name_Hall '-P 1'
_cell_length_a 5.000
_cell_length_b 5.007
_cell_length_c 5.009
_cell_angle_alpha 89.90
_cell_angle_beta 89.95
_cell_angle_gamma 89.82
loop_
_atom_site_label
_atom_site_fract_x
_atom_site_fract_y
_atom_site_fract_z
_atom_site_occupancy
V1 0.000 0.000 0.000 1
Re1 0.500 0.500 0.500 1
Mo1 0.001 0.499 0.752 1
Mo2 0.248 0.000 0.501 1
Mo3 0.499 0.752 0.000 1
```

No. 16
Here is a relaxed ZnH2I crystal from Alexandria via LeMat-Bulk. Energies are from PBE.

## Properties
M_tot, μB/f.u.: 0.00
Polymorph energy (0 for the lowest one), meV/atom: 14

Cell and atoms, written as CIF:
```
data_ZnH2I
_space_group_name_H-M_alt 'C c c m'
_space_group_IT_number 66
_space_group_name_Hall '-C 2 2c'
_cell_length_a 4.460
_cell_length_b 16.664
_cell_length_c 4.683
_cell_angle_alpha 90.00
_cell_angle_beta 90.00
_cell_angle_gamma 90.00
loop_
_atom_site_label
_atom_site_fract_x
_atom_site_fract_y
_atom_site_fract_z
_atom_site_occupancy
Zn1 0.000 0.000 0.250 1
H1 0.202 0.054 0.000 1
I1 0.250 0.250 0.500 1
```

No. 17
Here is a relaxed Y3Te4 crystal from Alexandria via LeMat-Bulk. Energies are from PBE.

## Properties
M_tot, μB/f.u.: 0.00
Formation energy (no corrections), eV/atom: -1.39
Polymorph energy (0 for the lowest one), meV/atom: 0

Cell and atoms, written as CIF:
```
data_Y3Te4
_space_group_name_H-M_alt 'I 4/m m m'
_space_group_IT_number 139
_space_group_name_Hall '-I 4 2'
_cell_length_a 6.163
_cell_length_b 6.163
_cell_length_c 12.145
_cell_angle_alpha 90.00
_cell_angle_beta 90.00
_cell_angle_gamma 90.00
loop_
_atom_site_label
_atom_site_fract_x
_atom_site_fract_y
_atom_site_fract_z
_atom_site_occupancy
Y1 0.000 0.000 0.000 1
Y2 0.000 0.500 0.250 1
Te1 0.000 0.000 0.257 1
Te2 0.000 0.500 0.000 1
```

No. 18
Here is a relaxed SrErZn4 crystal from Alexandria via LeMat-Bulk. Energies are from PBE.

## Properties
M_tot, μB/f.u.: 0.00
Polymorph energy (0 for the lowest one), meV/atom: 0
Formation energy, meV/atom: -331

Cell and atoms, written as CIF:
```
data_SrErZn4
_space_group_name_H-M_alt 'P 6/m m m'
_space_group_IT_number 191
_space_group_name_Hall '-P 6 2'
_cell_length_a 4.5493
_cell_length_b 4.5493
_cell_length_c 7.5598
_cell_angle_alpha 90.00
_cell_angle_beta 90.00
_cell_angle_gamma 120.00
loop_
_atom_site_label
_atom_site_fract_x
_atom_site_fract_y
_atom_site_fract_z
_atom_site_occupancy
Sr1 0.0000 0.0000 0.0000 1
Er1 0.0000 0.0000 0.5000 1
Zn1 0.3333 0.6667 0.3037 1
```

No. 19
Here is a relaxed PmNdTmMg crystal from Alexandria via LeMat-Bulk. Energies are from PBE.

## Properties
M_tot, μB/f.u.: 0.00
Polymorph energy (0 for the lowest one), meV/atom: 0
Formation energy, meV/atom: -28

Cell and atoms, written as CIF:
```
data_PmNdTmMg
_space_group_name_H-M_alt 'P 4 m m'
_space_group_IT_number 99
_space_group_name_Hall 'P 4 -2'
_cell_length_a 3.660
_cell_length_b 3.660
_cell_length_c 9.188
_cell_angle_alpha 90.00
_cell_angle_beta 90.00
_cell_angle_gamma 90.00
loop_
_atom_site_label
_atom_site_fract_x
_atom_site_fract_y
_atom_site_fract_z
_atom_site_occupancy
Pm1 0.000 0.000 0.000 1
Nd1 0.500 0.500 0.279 1
Tm1 0.000 0.000 0.545 1
Mg1 0.500 0.500 0.764 1
```

No. 20
Here is a relaxed Fe5SiTc2B2 crystal from Alexandria via LeMat-Bulk. Energies are from PBE.

## Properties
M_tot, μB/f.u.: 0.00
Formation energy (no corrections), eV/atom: -0.30

Cell and atoms, written as CIF:
```
data_Fe5SiTc2B2
_space_group_name_H-M_alt 'P 4/m b m'
_space_group_IT_number 127
_space_group_name_Hall '-P 4 2ab'
_cell_length_a 8.652
_cell_length_b 8.652
_cell_length_c 2.711
_cell_angle_alpha 90.00
_cell_angle_beta 90.00
_cell_angle_gamma 90.00
loop_
_atom_site_label
_atom_site_fract_x
_atom_site_fract_y
_atom_site_fract_z
_atom_site_occupancy
Fe1 0.000 0.500 0.000 1
Fe2 0.061 0.210 0.000 1
Si1 0.000 0.000 0.500 1
Tc1 0.180 0.680 0.500 1
B1 0.125 0.375 0.500 1
```

| no. | DOS(E_F) (states/eV/atom) |
| --- | --- |
| 1 | 0.50 |
| 2 | 0.41 |
| 3 | 0.38 |
| 4 | 0.52 |
| 5 | 1.17 |
| 6 | 0.95 |
| 7 | 0.54 |
| 8 | 1.58 |
| 9 | 1.24 |
| 10 | 0.47 |
| 11 | 1.25 |
| 12 | 0.29 |
| 13 | 0.54 |
| 14 | 0.92 |
| 15 | 0.62 |
| 16 | 0.11 |
| 17 | 0.45 |
| 18 | 0.82 |
| 19 | 1.05 |
| 20 | 0.83 |